## AcLaCdHg (PBE-GGA)

Data for a relaxed AcLaCdHg crystal.

Calculated values
The total moment comes out at 0.15 μB per atom. As for the total energy: -0.1087 Ha/atom. Its density of states at the Fermi level is 5.22 states/eV per cell.

```
data_AcLaCdHg
_chemical_formula_sum 'Ac1 La1 Cd1 Hg1'
_space_group_name_H-M_alt 'P 4 m m'
_space_group_IT_number 99
_cell_length_a 3.997
_cell_length_b 3.997
_cell_length_c 7.971
_cell_angle_alpha 90.00
_cell_angle_beta 90.00
_cell_angle_gamma 90.00
loop_
_space_group_symop_operation_xyz
'x,y,z'
'-y,x,z'
'-x,-y,z'
'y,-x,z'
'-x,y,z'
'y,x,z'
'x,-y,z'
'-y,-x,z'
loop_
_atom_site_label
_atom_site_fract_x
_atom_site_fract_y
_atom_site_fract_z
_atom_site_occupancy
Ac1 0.000 0.000 0.000 1
La1 0.000 0.000 0.504 1
Cd1 0.500 0.500 0.266 1
Hg1 0.500 0.500 0.736 1
```


## Tl2Cd2Ga (PBE-GGA)

Data for a relaxed Tl2Cd2Ga crystal.

Calculated values
The total moment comes out at 0.00 μB per atom. As for the total energy: -0.0669 Ha/atom. Its density of states at the Fermi level is 6.01 states/eV per cell.

```
data_Tl2Cd2Ga
_chemical_formula_sum 'Tl4 Cd4 Ga2'
_space_group_name_H-M_alt 'P 4/m b m'
_space_group_IT_number 127
_space_group_name_Hall '-P 4 2ab'
_cell_length_a 7.218
_cell_length_b 7.218
_cell_length_c 5.197
_cell_angle_alpha 90.00
_cell_angle_beta 90.00
_cell_angle_gamma 90.00
loop_
_atom_site_label
_atom_site_fract_x
_atom_site_fract_y
_atom_site_fract_z
_atom_site_occupancy
Tl1 0.174 0.326 0.000 1
Cd1 0.143 0.643 0.500 1
Ga1 0.000 0.000 0.500 1
```


## KInSn3 (PBE-GGA)

Data for a relaxed KInSn3 crystal.

Calculated values
The total moment comes out at 0.00 μB per atom. As for the total energy: -0.1061 Ha/atom. Its density of states at the Fermi level is 3.61 states/eV per cell.

```
data_KInSn3
_chemical_formula_sum 'K1 In1 Sn3'
_space_group_name_H-M_alt 'P m -3 m'
_space_group_IT_number 221
_space_group_name_Hall '-P 4 2 3'
_cell_length_a 5.786
_cell_length_b 5.786
_cell_length_c 5.786
_cell_angle_alpha 90.00
_cell_angle_beta 90.00
_cell_angle_gamma 90.00
loop_
_atom_site_label
_atom_site_fract_x
_atom_site_fract_y
_atom_site_fract_z
_atom_site_occupancy
K1 0.000 0.000 0.000 1
In1 0.500 0.500 0.500 1
Sn1 0.000 0.500 0.500 1
```


## Ce3Sn2 (PBE-GGA)

Data for a relaxed Ce3Sn2 crystal.

Calculated values
The total moment comes out at 0.38 μB per atom. As for the total energy: -0.1905 Ha/atom. Its density of states at the Fermi level is 34.17 states/eV per cell.

```
data_Ce3Sn2
_chemical_formula_sum 'Ce9 Sn6'
_space_group_name_H-M_alt 'R 3 2'
_space_group_IT_number 155
_space_group_name_Hall 'R 3 2"'
_cell_length_a 7.9611
_cell_length_b 7.9611
_cell_length_c 8.5156
_cell_angle_alpha 90.00
_cell_angle_beta 90.00
_cell_angle_gamma 120.00
loop_
_atom_site_label
_atom_site_fract_x
_atom_site_fract_y
_atom_site_fract_z
_atom_site_occupancy
Ce1 0.0000 0.2027 0.0000 1
Sn1 0.0000 0.0000 0.3264 1
```


## Ca3Pm3ErTe8 (PBE-GGA)

Data for a relaxed Ca3Pm3ErTe8 crystal.

Calculated values
The total moment comes out at 0.00 μB per atom. As for the uncorrected formation energy: -1.510 eV/atom. As for the total energy: -0.1779 Ha/atom. Its density of states at the Fermi level is 13.96 states/eV per cell.

```
data_Ca3Pm3ErTe8
_chemical_formula_sum 'Ca9 Pm9 Er3 Te24'
_space_group_name_H-M_alt 'R -3 m'
_space_group_IT_number 166
_space_group_name_Hall '-R 3 2"'
_cell_length_a 8.8756
_cell_length_b 8.8756
_cell_length_c 22.1932
_cell_angle_alpha 90.00
_cell_angle_beta 90.00
_cell_angle_gamma 120.00
loop_
_atom_site_label
_atom_site_fract_x
_atom_site_fract_y
_atom_site_fract_z
_atom_site_occupancy
Ca1 0.0000 0.5000 0.0000 1
Pm1 0.0000 0.5000 0.5000 1
Er1 0.0000 0.0000 0.5000 1
Te1 0.0000 0.0000 0.2509 1
Te2 0.0048 0.5024 0.2488 1
```


## Rb2PaTe4Pb (PBE-GGA)

Data for a relaxed Rb2PaTe4Pb crystal.

Calculated values
The total moment comes out at 0.13 μB per atom. As for the uncorrected formation energy: -0.876 eV/atom. As for the total energy: -0.1595 Ha/atom. Its density of states at the Fermi level is 5.67 states/eV per cell.

```
data_Rb2PaTe4Pb
_chemical_formula_sum 'Rb2 Pa1 Te4 Pb1'
_space_group_name_H-M_alt 'P 1 2/m 1'
_space_group_IT_number 10
_cell_length_a 8.183
_cell_length_b 4.656
_cell_length_c 8.861
_cell_angle_alpha 90.00
_cell_angle_beta 107.18
_cell_angle_gamma 90.00
loop_
_space_group_symop_operation_xyz
'x,y,z'
'-x,-y,-z'
'-x,y,-z'
'x,-y,z'
loop_
_atom_site_label
_atom_site_fract_x
_atom_site_fract_y
_atom_site_fract_z
_atom_site_occupancy
Rb1 0.000 0.000 0.000 1
Rb2 0.500 0.500 0.000 1
Pa1 0.000 0.500 0.500 1
Te1 0.219 0.000 0.700 1
Te2 0.246 0.500 0.297 1
Pb1 0.500 0.000 0.500 1
```


## MgTaS2 (PBE-GGA)

Data for a relaxed MgTaS2 crystal.

Calculated values
The total moment comes out at 0.11 μB per atom. As for the uncorrected formation energy: -0.466 eV/atom. As for the total energy: -0.2165 Ha/atom. Its density of states at the Fermi level is 13.67 states/eV per cell.

```
data_MgTaS2
_chemical_formula_sum 'Mg4 Ta4 S8'
_space_group_name_H-M_alt 'I -4 2 d'
_space_group_IT_number 122
_space_group_name_Hall 'I -4 2bw'
_cell_length_a 5.783
_cell_length_b 5.783
_cell_length_c 10.408
_cell_angle_alpha 90.00
_cell_angle_beta 90.00
_cell_angle_gamma 90.00
loop_
_atom_site_label
_atom_site_fract_x
_atom_site_fract_y
_atom_site_fract_z
_atom_site_occupancy
Mg1 0.000 0.000 0.000 1
Ta1 0.000 0.000 0.500 1
S1 0.244 0.250 0.625 1
```


## LaHSe (PBE-GGA)

Data for a relaxed LaHSe crystal.

Calculated values
The total moment comes out at 0.00 μB per atom. As for the total energy: -0.1885 Ha/atom. Its density of states at the Fermi level is 0.00 states/eV per cell.

```
data_LaHSe
_chemical_formula_sum 'La4 H4 Se4'
_space_group_name_H-M_alt 'F -4 3 m'
_space_group_IT_number 216
_space_group_name_Hall 'F -4 2 3'
_cell_length_a 6.694
_cell_length_b 6.694
_cell_length_c 6.694
_cell_angle_alpha 90.00
_cell_angle_beta 90.00
_cell_angle_gamma 90.00
loop_
_atom_site_label
_atom_site_fract_x
_atom_site_fract_y
_atom_site_fract_z
_atom_site_occupancy
La1 0.000 0.000 0.000 1
H1 0.250 0.250 0.750 1
Se1 0.250 0.250 0.250 1
```